[1]
Density functional theory data (GGA-PBE) for a geometry-optimized In3Te5Au12 structure.

Cell and atoms, written as POSCAR:
```
In3Te5Au12
1.0
-8.092 8.092 8.092
8.092 -8.092 8.092
8.092 8.092 -8.092
In Te Au
12 20 48
direct
0.125 0.250 0.375
0.125 0.375 0.750
0.250 0.375 0.125
0.250 0.875 0.625
0.375 0.125 0.250
0.375 0.750 0.125
0.625 0.250 0.875
0.625 0.875 0.750
0.750 0.125 0.375
0.750 0.625 0.875
0.875 0.625 0.250
0.875 0.750 0.625
0.000 0.000 0.000
0.000 0.000 0.500
0.000 0.500 0.000
0.000 0.500 0.500
0.125 0.750 0.875
0.125 0.875 0.250
0.250 0.125 0.875
0.250 0.625 0.375
0.375 0.250 0.625
0.375 0.625 0.750
0.500 0.000 0.000
0.500 0.000 0.500
0.500 0.500 0.000
0.500 0.500 0.500
0.625 0.375 0.250
0.625 0.750 0.375
0.750 0.375 0.625
0.750 0.875 0.125
0.875 0.125 0.750
0.875 0.250 0.125
0.069 0.231 0.148
0.069 0.337 0.920
0.080 0.648 0.417
0.080 0.931 0.663
0.083 0.731 0.663
0.083 0.852 0.420
0.148 0.069 0.231
0.148 0.580 0.917
0.163 0.231 0.583
0.163 0.431 0.580
0.231 0.148 0.069
0.231 0.583 0.163
0.269 0.337 0.917
0.269 0.431 0.352
0.337 0.917 0.269
0.337 0.920 0.069
0.352 0.269 0.431
0.352 0.583 0.920
0.417 0.080 0.648
0.417 0.837 0.769
0.420 0.083 0.852
0.420 0.837 0.569
0.431 0.352 0.269
0.431 0.580 0.163
0.569 0.420 0.837
0.569 0.648 0.731
0.580 0.163 0.431
0.580 0.917 0.148
0.583 0.163 0.231
0.583 0.920 0.352
0.648 0.417 0.080
0.648 0.731 0.569
0.663 0.080 0.931
0.663 0.083 0.731
0.731 0.569 0.648
0.731 0.663 0.083
0.769 0.417 0.837
0.769 0.852 0.931
0.837 0.569 0.420
0.837 0.769 0.417
0.852 0.420 0.083
0.852 0.931 0.769
0.917 0.148 0.580
0.917 0.269 0.337
0.920 0.069 0.337
0.920 0.352 0.583
0.931 0.663 0.080
0.931 0.769 0.852
```

## Properties
Crystal system: cubic
Space-group type: No. 230
Total magnetic moment in Bohr magnetons per cell: 0.0
Formation energy without anion corrections in eV per formula unit: 0.077

[2]
Density functional theory data (GGA-PBE) for a geometry-optimized GaPb3Se4 structure.

Cell and atoms, written as POSCAR:
```
GaPb3Se4
1.0
9.007 0.000 0.000
0.000 9.233 0.000
0.000 0.000 6.205
Ga Pb Se
2 6 8
direct
0.000 0.200 0.000
0.500 0.800 0.500
0.000 0.886 0.437
0.204 0.658 0.942
0.296 0.342 0.442
0.500 0.114 0.937
0.704 0.342 0.442
0.796 0.658 0.942
0.000 0.213 0.404
0.000 0.937 0.916
0.241 0.325 0.915
0.259 0.675 0.415
0.500 0.063 0.416
0.500 0.787 0.904
0.741 0.675 0.415
0.759 0.325 0.915
```

## Properties
Crystal system: orthorhombic
Space-group type: No. 31
Total magnetic moment in Bohr magnetons per cell: 0.0
Formation energy without anion corrections in eV per formula unit: -3.542